## Sn2HgAu (PBE)

Data for an optimized crystal structure of Sn2HgAu.

## Properties
The total energy comes out at -0.205 Ry/atom. The calculated volume comes out at 24.1 A^3/atom. Its crystal system is cubic. Its space-group type is F-43m.

abc: 5.1446 5.1446 5.1446
angles: 60.00 60.00 60.00
Last column: nearest neighbours and their distance in Å.
Element x y z (fractional)
1 Hg 0.2500 0.2500 0.2500  4 Au 3.15, 4 Sn 3.15
2 Sn 0.0000 0.0000 0.0000  4 Sn 3.15, 4 Hg 3.15
3 Sn 0.7500 0.7500 0.7500  4 Au 3.15, 4 Sn 3.15
4 Au 0.5000 0.5000 0.5000  4 Sn 3.15, 4 Hg 3.15


## Sr2Sn2HgAu (PBE)

Data for an optimized crystal structure of Sr2Sn2HgAu.

## Properties
The total energy comes out at -0.228 Ry/atom. The calculated volume comes out at 30.1 A^3/atom. Its crystal system is hexagonal. Its space-group type is P-6m2.

abc: 4.8134 4.8134 8.9987
angles: 90.00 90.00 120.00
Last column: nearest neighbours and their distance in Å.
Element x y z (fractional)
1 Sr 0.0000 0.0000 0.2378  3 Au 3.51, 6 Sn 3.51-3.65, 3 Hg 3.65
2 Sr 0.0000 0.0000 0.7622  3 Au 3.51, 6 Sn 3.51-3.65, 3 Hg 3.65
3 Sn 0.3333 0.6667 0.0000  3 Au 2.78
4 Sn 0.6667 0.3333 0.5000  3 Hg 2.78
5 Hg 0.3333 0.6667 0.5000  3 Sn 2.78
6 Au 0.6667 0.3333 0.0000  3 Sn 2.78


## SrHgAu (PBE)

Data for an optimized crystal structure of SrHgAu.

## Properties
The total energy comes out at -0.169 Ry/atom. The calculated volume comes out at 30.3 A^3/atom. Its crystal system is cubic. Its space-group type is F-43m.

abc: 5.0457 5.0457 5.0457
angles: 60.00 60.00 60.00
Last column: nearest neighbours and their distance in Å.
Element x y z (fractional)
1 Au 0.0000 0.0000 0.0000  4 Sr 3.09, 4 Hg 3.09
2 Hg 0.2500 0.2500 0.2500  4 Au 3.09
3 Sr 0.7500 0.7500 0.7500  4 Au 3.09


## SrHg2Au (PBE)

Data for an optimized crystal structure of SrHg2Au.

## Properties
The total energy comes out at -0.134 Ry/atom. The calculated volume comes out at 25.1 A^3/atom. Its crystal system is cubic. Its space-group type is F-43m.

abc: 5.2175 5.2175 5.2175
angles: 60.00 60.00 60.00
Last column: nearest neighbours and their distance in Å.
Element x y z (fractional)
1 Sr 0.5000 0.5000 0.5000  4 Hg 3.20, 4 Au 3.20
2 Au 0.2500 0.2500 0.2500  4 Hg 3.20, 4 Sr 3.20
3 Hg 0.7500 0.7500 0.7500  4 Hg 3.20, 4 Sr 3.20
4 Hg 0.0000 0.0000 0.0000  4 Au 3.20, 4 Hg 3.20


## SrHgAu2 (PBE)

Data for an optimized crystal structure of SrHgAu2.

## Properties
The total energy comes out at -0.189 Ry/atom. The calculated volume comes out at 23.6 A^3/atom. Its crystal system is cubic. Its space-group type is F-43m.

abc: 5.1134 5.1134 5.1134
angles: 60.00 60.00 60.00
Last column: nearest neighbours and their distance in Å.
Element x y z (fractional)
1 Sr 0.2500 0.2500 0.2500  4 Au 3.13, 4 Hg 3.13
2 Hg 0.5000 0.5000 0.5000  4 Au 3.13, 4 Sr 3.13
3 Au 0.0000 0.0000 0.0000  4 Sr 3.13, 4 Au 3.13
4 Au 0.7500 0.7500 0.7500  4 Hg 3.13, 4 Au 3.13


## SrHgAu (PBE)

Data for an optimized crystal structure of SrHgAu.

## Properties
The total energy comes out at -0.154 Ry/atom. The calculated volume comes out at 33.3 A^3/atom. Its crystal system is cubic. Its space-group type is F-43m.

abc: 5.2076 5.2076 5.2076
angles: 60.00 60.00 60.00
Last column: nearest neighbours and their distance in Å.
Element x y z (fractional)
1 Au 0.2500 0.2500 0.2500  4 Sr 3.19
2 Sr 0.0000 0.0000 0.0000  4 Hg 3.19, 4 Au 3.19
3 Hg 0.7500 0.7500 0.7500  4 Sr 3.19


## Sr2Hg2Au15 (PBE)

Data for an optimized crystal structure of Sr2Hg2Au15.

## Properties
The total energy comes out at -0.226 Ry/atom. The calculated volume comes out at 20.9 A^3/atom. Its crystal system is trigonal. Its space-group type is R-3m.

abc: 7.3878 7.3878 7.3878
angles: 83.63 83.63 83.63
Last column: nearest neighbours and their distance in Å.
Element x y z (fractional)
1 Au 0.0000 0.3162 0.6838  8 Au 2.83-3.11
2 Au 0.0000 0.6838 0.3162  8 Au 2.83-3.11
3 Au 0.3162 0.6838 0.0000  8 Au 2.83-3.11
4 Au 0.6838 0.0000 0.3162  8 Au 2.83-3.11
5 Au 0.6535 0.1660 0.6535  8 Au 2.78-2.94, 1 Hg 3.09
6 Au 0.5000 0.0000 0.0000  8 Au 2.83-2.88, 2 Hg 2.98
7 Au 0.0000 0.0000 0.5000  8 Au 2.83-2.88, 2 Hg 2.98
8 Au 0.6535 0.6535 0.1660  8 Au 2.78-2.94, 1 Hg 3.09
9 Au 0.6838 0.3162 0.0000  8 Au 2.83-3.11
10 Au 0.3465 0.8340 0.3465  8 Au 2.78-2.94, 1 Hg 3.09
11 Au 0.8340 0.3465 0.3465  8 Au 2.78-2.94, 1 Hg 3.09
12 Au 0.0000 0.5000 0.0000  8 Au 2.83-2.88, 2 Hg 2.98
13 Au 0.1660 0.6535 0.6535  8 Au 2.78-2.94, 1 Hg 3.09
14 Au 0.3162 0.0000 0.6838  8 Au 2.83-3.11
15 Au 0.3465 0.3465 0.8340  8 Au 2.78-2.94, 1 Hg 3.09
16 Sr 0.6545 0.6545 0.6545  15 Au 3.38-3.78, 1 Hg 3.44
17 Sr 0.3455 0.3455 0.3455  15 Au 3.38-3.78, 1 Hg 3.44
18 Hg 0.8974 0.8974 0.8974  1 Hg 2.90, 6 Au 2.98-3.09
19 Hg 0.1026 0.1026 0.1026  1 Hg 2.90, 6 Au 2.98-3.09


## SrHgAu2 (PBE)

Data for an optimized crystal structure of SrHgAu2.

## Properties
The total energy comes out at -0.189 Ry/atom. The calculated volume comes out at 23.6 A^3/atom. Its crystal system is cubic. Its space-group type is F-43m.

abc: 5.1134 5.1134 5.1134
angles: 60.00 60.00 60.00
Last column: nearest neighbours and their distance in Å.
Element x y z (fractional)
1 Au 0.0000 0.0000 0.0000  4 Au 3.13, 4 Hg 3.13
2 Au 0.7500 0.7500 0.7500  4 Au 3.13, 4 Sr 3.13
3 Sr 0.5000 0.5000 0.5000  4 Hg 3.13, 4 Au 3.13
4 Hg 0.2500 0.2500 0.2500  4 Sr 3.13, 4 Au 3.13


## SrHg2Au (PBE)

Data for an optimized crystal structure of SrHg2Au.

## Properties
The total energy comes out at -0.134 Ry/atom. The calculated volume comes out at 25.1 A^3/atom. Its crystal system is cubic. Its space-group type is F-43m.

abc: 5.2175 5.2175 5.2175
angles: 60.00 60.00 60.00
Last column: nearest neighbours and their distance in Å.
Element x y z (fractional)
1 Hg 0.0000 0.0000 0.0000  4 Sr 3.20, 4 Hg 3.20
2 Hg 0.7500 0.7500 0.7500  4 Hg 3.20, 4 Au 3.20
3 Sr 0.2500 0.2500 0.2500  4 Hg 3.20, 4 Au 3.20
4 Au 0.5000 0.5000 0.5000  4 Sr 3.20, 4 Hg 3.20


## TaHgAu (PBE)

Data for an optimized crystal structure of TaHgAu.

## Properties
The total energy comes out at -0.332 Ry/atom. The calculated volume comes out at 22.2 A^3/atom. Its crystal system is cubic. The formation energy is 14.22 kcal/mol of atoms. The energy above the lowest structure with this stoichiometry comes out at 0.56 eV per formula unit. Its space-group type is F-43m.

abc: 4.5494 4.5494 4.5494
angles: 60.00 60.00 60.00
Last column: nearest neighbours and their distance in Å.
Element x y z (fractional)
1 Hg 0.7500 0.7500 0.7500  4 Ta 2.79
2 Ta 0.0000 0.0000 0.0000  4 Hg 2.79, 4 Au 2.79
3 Au 0.2500 0.2500 0.2500  4 Ta 2.79


## TbHgAu (PBE)

Data for an optimized crystal structure of TbHgAu.

## Properties
The total energy comes out at -0.250 Ry/atom. The calculated volume comes out at 23.0 A^3/atom. Its crystal system is hexagonal. The formation energy is -15.41 kcal/mol of atoms. Its space-group type is P6_3/mmc.

abc: 5.0917 5.0917 6.1389
angles: 90.00 90.00 120.01
Last column: nearest neighbours and their distance in Å.
Element x y z (fractional)
1 Hg 0.0000 0.0000 0.0000  2 Hg 3.07, 6 Au 3.32, 6 Tb 3.32
2 Hg 0.0000 0.0000 0.5000  2 Hg 3.07, 6 Au 3.32, 6 Tb 3.32
3 Tb 0.6667 0.3333 0.7500  5 Au 2.94-3.07
4 Tb 0.3333 0.6667 0.2500  5 Au 2.94-3.07
5 Au 0.6666 0.3334 0.2500  5 Tb 2.94-3.07
6 Au 0.3334 0.6666 0.7500  5 Tb 2.94-3.07


## TbHgAu (PBE)

Data for an optimized crystal structure of TbHgAu.

## Properties
The total energy comes out at -0.239 Ry/atom. The calculated volume comes out at 26.2 A^3/atom. Its crystal system is cubic. The formation energy is -12.00 kcal/mol of atoms. Its space-group type is F-43m.

abc: 4.8055 4.8055 4.8055
angles: 60.00 60.00 60.00
Last column: nearest neighbours and their distance in Å.
Element x y z (fractional)
1 Tb 0.7500 0.7500 0.7500  4 Au 2.94
2 Hg 0.2500 0.2500 0.2500  4 Au 2.94
3 Au 0.0000 0.0000 0.0000  4 Tb 2.94, 4 Hg 2.94


## TcHg2Au (PBE)

Data for an optimized crystal structure of TcHg2Au.

## Properties
The total energy comes out at -0.217 Ry/atom. The calculated volume comes out at 19.0 A^3/atom. Its crystal system is cubic. The formation energy is 13.95 kcal/mol of atoms. Its space-group type is F-43m.

abc: 4.7553 4.7553 4.7553
angles: 60.00 60.00 60.00
Last column: nearest neighbours and their distance in Å.
Element x y z (fractional)
1 Hg 0.0000 0.0000 0.0000  4 Tc 2.91, 4 Hg 2.91
2 Hg 0.2500 0.2500 0.2500  4 Au 2.91, 4 Hg 2.91
3 Tc 0.7500 0.7500 0.7500  4 Au 2.91, 4 Hg 2.91
4 Au 0.5000 0.5000 0.5000  4 Tc 2.91, 4 Hg 2.91


## Tc2Hg2Au (PBE)

Data for an optimized crystal structure of Tc2Hg2Au.

## Properties
The total energy comes out at -0.322 Ry/atom. The calculated volume comes out at 20.2 A^3/atom. Its crystal system is trigonal. The formation energy is 12.38 kcal/mol of atoms. Its space-group type is P-3m1.

abc: 4.5421 4.5421 5.6399
angles: 90.00 90.00 120.00
Last column: nearest neighbours and their distance in Å.
Element x y z (fractional)
1 Tc 0.6667 0.3333 0.9147  3 Au 2.67, 2 Hg 2.71-2.93, 3 Tc 2.79
2 Tc 0.3333 0.6667 0.0853  3 Au 2.67, 2 Hg 2.71-2.93, 3 Tc 2.79
3 Au 0.0000 0.0000 0.0000  6 Tc 2.67
4 Hg 0.3333 0.6667 0.6047  2 Tc 2.71-2.93, 3 Hg 2.88
5 Hg 0.6667 0.3333 0.3953  2 Tc 2.71-2.93, 3 Hg 2.88